# PBE with a Hubbard U PmTiWO6, relaxed
data_PmTiWO6
_chemical_formula_sum 'Pm2 Ti2 W2 O12'
_cell_length_a 4.886
_cell_length_b 4.886
_cell_length_c 9.770
_cell_angle_alpha 90.00
_cell_angle_beta 90.00
_cell_angle_gamma 90.00
_symmetry_space_group_name_H-M 'P 42 n m'
_symmetry_Int_Tables_number 102
_symmetry_space_group_name_Hall 'P 4n -2n'
loop_
_atom_site_label
_atom_site_fract_x
_atom_site_fract_y
_atom_site_fract_z
Pm1 0.000 0.000 0.000
Ti1 0.000 0.000 0.340
W1 0.000 0.000 0.668
O1 0.173 0.173 0.499
O2 0.219 0.219 0.188
O3 0.219 0.219 0.815
# E: -8.2252 eV per atom